Record 1
DFT (GGA-PBE) results for crystalline NbBiB4 at its relaxed geometry.

Summary:
Its calculated total energy is -6.78 eV/atom. As for the density: 7.88 g cm⁻³. The symmetry is No. 191.

The structure in extended XYZ format:
```
6
Lattice="3.097 0.000 0.000 -1.549 2.682 0.000 0.000 0.000 8.759" Properties=species:S:1:pos:R:3 pbc="T T T"
Nb 0.000 0.000 0.000
Bi 0.000 0.000 4.380
B 0.000 1.788 1.663
B 0.000 1.788 7.097
B 1.549 0.894 1.663
B 1.549 0.894 7.097
```

Record 2
DFT (GGA-PBE) results for crystalline Nb2BiB at its relaxed geometry.

Summary:
Its calculated total energy is -8.01 eV/atom. As for the density: 9.59 g cm⁻³. The symmetry is No. 194.

The structure in extended XYZ format:
```
8
Lattice="3.461 0.000 0.000 -1.731 2.997 0.000 0.000 0.000 13.541" Properties=species:S:1:pos:R:3 pbc="T T T"
Nb 0.000 1.998 1.125
Nb 0.000 1.998 5.646
Nb 1.731 0.999 7.895
Nb 1.731 0.999 12.416
Bi 0.000 1.998 10.156
Bi 1.731 0.999 3.385
B 0.000 0.000 0.000
B 0.000 0.000 6.771
```

Among the records above, which one has the lowest density?
NbBiB4